A geometry-optimized Rb2CeNpO6 structure, computed with PBE.

## Properties
Electronic total energy (Ha/atom): -0.2859

Unit cell a=6.179 b=6.179 c=8.737 alpha=90.00 beta=90.00 gamma=90.00
Last column: magnetic moment on the atom in μB.
Sites, in units of the cell vectors:
1 Rb 0.500 0.750 0.250  0.00
2 Rb 0.000 0.250 0.750  0.00
3 Rb 0.500 0.750 0.750  0.00
4 Rb 0.000 0.250 0.250  0.00
5 Ce 0.000 0.750 0.500  0.09
6 Ce 0.500 0.250 0.000  0.09
7 Np 0.500 0.250 0.500  1.24
8 Np 0.000 0.750 0.000  1.24
9 O 0.500 0.250 0.261  -0.04
10 O 0.500 0.250 0.739  -0.04
11 O 0.000 0.750 0.239  -0.04
12 O 0.000 0.750 0.761  -0.04
13 O 0.261 0.011 0.500  -0.04
14 O 0.739 0.011 0.500  -0.04
15 O 0.261 0.489 0.500  -0.04
16 O 0.739 0.489 0.500  -0.04
17 O 0.761 0.511 0.000  -0.04
18 O 0.239 0.511 0.000  -0.04
19 O 0.239 0.989 0.000  -0.04
20 O 0.761 0.989 0.000  -0.04

=====

A geometry-optimized CeNpS2O structure, computed with PBE.

## Properties
Electronic total energy (Ha/atom): -0.3176

Unit cell a=3.895 b=3.895 c=13.578 alpha=90.00 beta=90.00 gamma=90.00
Last column: magnetic moment on the atom in μB.
Sites, in units of the cell vectors:
1 Ce 0.500 0.000 0.595  0.66
2 Ce 0.000 0.500 0.405  0.66
3 Np 0.500 0.000 0.110  3.94
4 Np 0.000 0.500 0.890  3.94
5 S 0.000 0.500 0.693  -0.06
6 S 0.000 0.500 0.097  -0.11
7 S 0.500 0.000 0.903  -0.11
8 S 0.500 0.000 0.307  -0.06
9 O 0.000 0.000 0.500  -0.03
10 O 0.500 0.500 0.500  -0.03

=====

A geometry-optimized CeNpSc2O8 structure, computed with PBE.

## Properties
Electronic total energy (Ha/atom): -0.3361

Unit cell a=4.879 b=4.879 c=6.924 alpha=90.00 beta=90.00 gamma=90.38
Last column: magnetic moment on the atom in μB.
Sites, in units of the cell vectors:
1 Ce 0.000 0.000 0.500  0.00
2 Np 0.000 0.000 0.000  -1.21
3 Sc 0.500 0.500 0.745  0.00
4 Sc 0.500 0.500 0.255  0.00
5 O 0.195 0.805 0.231  0.03
6 O 0.702 0.702 0.000  0.04
7 O 0.805 0.195 0.231  0.03
8 O 0.805 0.195 0.769  0.03
9 O 0.298 0.298 0.000  0.04
10 O 0.195 0.805 0.769  0.03
11 O 0.685 0.685 0.500  0.00
12 O 0.315 0.315 0.500  0.00

=====

A geometry-optimized CeNpSe2O structure, computed with PBE.

## Properties
Electronic total energy (Ha/atom): -0.3016

Unit cell a=4.058 b=4.058 c=14.337 alpha=90.00 beta=90.00 gamma=90.00
Last column: magnetic moment on the atom in μB.
Sites, in units of the cell vectors:
1 Ce 0.500 0.000 0.120  0.93
2 Ce 0.000 0.500 0.880  0.93
3 Np 0.500 0.000 0.580  3.70
4 Np 0.000 0.500 0.420  3.70
5 Se 0.000 0.500 0.681  -0.07
6 Se 0.000 0.500 0.097  -0.02
7 Se 0.500 0.000 0.903  -0.02
8 Se 0.500 0.000 0.319  -0.07
9 O 0.000 0.000 0.500  -0.11
10 O 0.500 0.500 0.500  -0.11

=====

A geometry-optimized CeSmNpO6 structure, computed with PBE.

## Properties
Electronic total energy (Ha/atom): -0.3335

Unit cell a=5.871 b=5.871 c=9.491 alpha=90.00 beta=90.00 gamma=120.00
Last column: magnetic moment on the atom in μB.
Sites, in units of the cell vectors:
1 Ce 0.000 0.000 0.000  0.55
2 Ce 0.000 0.000 0.500  0.55
3 Sm 0.333 0.667 0.250  0.01
4 Sm 0.667 0.333 0.750  0.01
5 Np 0.667 0.333 0.250  1.69
6 Np 0.333 0.667 0.750  1.69
7 O 0.327 0.358 0.633  -0.05
8 O 0.030 0.673 0.633  -0.05
9 O 0.673 0.030 0.133  -0.05
10 O 0.970 0.327 0.367  -0.05
11 O 0.642 0.673 0.867  -0.05
12 O 0.030 0.358 0.867  -0.05
13 O 0.358 0.030 0.367  -0.05
14 O 0.327 0.970 0.867  -0.05
15 O 0.970 0.642 0.133  -0.05
16 O 0.642 0.970 0.633  -0.05
17 O 0.358 0.327 0.133  -0.05
18 O 0.673 0.642 0.367  -0.05

=====

A geometry-optimized Sr2CeNpO8 structure, computed with PBE.

## Properties
Electronic total energy (Ha/atom): -0.2901

Unit cell a=4.093 b=5.786 c=7.576 alpha=90.00 beta=90.00 gamma=96.80
Last column: magnetic moment on the atom in μB.
Sites, in units of the cell vectors:
1 Sr 0.500 0.500 0.754  0.00
2 Sr 0.500 0.500 0.246  0.00
3 Ce 0.000 0.000 0.500  0.05
4 Np 0.000 0.000 0.000  -0.05
5 O 0.061 0.788 0.219  0.06
6 O 0.582 0.794 0.000  0.06
7 O 0.939 0.212 0.219  0.06
8 O 0.939 0.212 0.781  0.06
9 O 0.418 0.206 0.000  0.06
10 O 0.061 0.788 0.781  0.06
11 O 0.569 0.771 0.500  0.11
12 O 0.431 0.229 0.500  0.11

=====

A geometry-optimized SrCeNpO6 structure, computed with PBE.

## Properties
Electronic total energy (Ha/atom): -0.3147

Unit cell a=5.923 b=5.923 c=9.324 alpha=90.00 beta=90.00 gamma=120.00
Last column: magnetic moment on the atom in μB.
Sites, in units of the cell vectors:
1 Sr 0.333 0.667 0.250  0.00
2 Sr 0.667 0.333 0.750  0.00
3 Ce 0.000 0.000 0.000  0.13
4 Ce 0.000 0.000 0.500  0.13
5 Np 0.667 0.333 0.250  1.17
6 Np 0.333 0.667 0.750  1.17
7 O 0.696 0.640 0.127  -0.04
8 O 0.944 0.304 0.127  -0.04
9 O 0.304 0.944 0.627  -0.04
10 O 0.056 0.696 0.873  -0.04
11 O 0.360 0.304 0.373  -0.04
12 O 0.944 0.640 0.373  -0.04
13 O 0.640 0.944 0.873  -0.04
14 O 0.696 0.056 0.373  -0.04
15 O 0.056 0.360 0.627  -0.04
16 O 0.360 0.056 0.127  -0.04
17 O 0.640 0.696 0.627  -0.04
18 O 0.304 0.360 0.873  -0.04

=====

A geometry-optimized CeNp2TaO8 structure, computed with PBE.

## Properties
Electronic total energy (Ha/atom): -0.3666

Unit cell a=5.083 b=5.081 c=6.942 alpha=90.00 beta=90.00 gamma=90.03
Last column: magnetic moment on the atom in μB.
Sites, in units of the cell vectors:
1 Ce 0.000 0.000 0.500  0.66
2 Np 0.500 0.500 0.758  3.22
3 Np 0.500 0.500 0.242  3.22
4 Ta 0.000 0.000 0.000  0.08
5 O 0.186 0.813 0.218  -0.04
6 O 0.716 0.717 0.000  -0.06
7 O 0.814 0.187 0.218  -0.04
8 O 0.814 0.187 0.782  -0.04
9 O 0.284 0.283 0.000  -0.06
10 O 0.186 0.813 0.782  -0.04
11 O 0.681 0.683 0.500  -0.08
12 O 0.319 0.317 0.500  -0.08

=====

A geometry-optimized CeNpTaO6 structure, computed with PBE.

## Properties
Electronic total energy (Ha/atom): -0.3572

Unit cell a=5.676 b=5.676 c=9.407 alpha=90.00 beta=90.00 gamma=120.00
Last column: magnetic moment on the atom in μB.
Sites, in units of the cell vectors:
1 Ce 0.333 0.667 0.250  0.57
2 Ce 0.667 0.333 0.750  0.57
3 Np 0.000 0.000 0.000  3.40
4 Np 0.000 0.000 0.500  3.40
5 Ta 0.667 0.333 0.250  0.08
6 Ta 0.333 0.667 0.750  0.08
7 O 0.678 0.637 0.133  -0.03
8 O 0.959 0.322 0.133  -0.03
9 O 0.322 0.959 0.633  -0.03
10 O 0.041 0.678 0.867  -0.03
11 O 0.363 0.322 0.367  -0.03
12 O 0.959 0.637 0.367  -0.03
13 O 0.637 0.959 0.867  -0.03
14 O 0.678 0.041 0.367  -0.03
15 O 0.041 0.363 0.633  -0.03
16 O 0.363 0.041 0.133  -0.03
17 O 0.637 0.678 0.633  -0.03
18 O 0.322 0.363 0.867  -0.03

=====

A geometry-optimized Tb2CeNpO8 structure, computed with PBE.

## Properties
Electronic total energy (Ha/atom): -0.3288

Unit cell a=3.824 b=5.387 c=7.562 alpha=90.01 beta=90.00 gamma=90.08
Last column: magnetic moment on the atom in μB.
Sites, in units of the cell vectors:
1 Tb 0.500 0.500 0.752  0.00
2 Tb 0.500 0.500 0.248  0.00
3 Ce 0.000 0.000 0.500  0.01
4 Np 0.000 0.000 0.000  1.29
5 O 0.001 0.761 0.230  -0.04
6 O 0.501 0.771 0.000  -0.05
7 O 0.999 0.239 0.230  -0.04
8 O 0.999 0.239 0.770  -0.04
9 O 0.499 0.229 0.000  -0.05
10 O 0.001 0.761 0.770  -0.04
11 O 0.500 0.752 0.500  -0.01
12 O 0.500 0.248 0.500  -0.01

=====

A geometry-optimized CeNpTeO2 structure, computed with PBE.

## Properties
Electronic total energy (Ha/atom): -0.3275

Unit cell a=3.990 b=3.990 c=6.946 alpha=106.69 beta=106.69 gamma=90.00
Last column: magnetic moment on the atom in μB.
Sites, in units of the cell vectors:
1 Ce 0.844 0.844 0.689  0.93
2 Np 0.154 0.154 0.309  3.86
3 Te 0.504 0.504 0.008  -0.06
4 O 0.749 0.249 0.497  -0.06
5 O 0.249 0.749 0.497  -0.06

=====

A geometry-optimized CeNpTl2O6 structure, computed with PBE.

## Properties
Electronic total energy (Ha/atom): -0.2824

Unit cell a=6.177 b=6.177 c=8.734 alpha=90.00 beta=90.00 gamma=90.00
Last column: magnetic moment on the atom in μB.
Sites, in units of the cell vectors:
1 Ce 0.000 0.750 0.500  0.10
2 Ce 0.500 0.250 0.000  0.10
3 Np 0.500 0.250 0.500  1.22
4 Np 0.000 0.750 0.000  1.22
5 Tl 0.500 0.750 0.250  0.00
6 Tl 0.000 0.250 0.750  0.00
7 Tl 0.500 0.750 0.750  0.00
8 Tl 0.000 0.250 0.250  0.00
9 O 0.500 0.250 0.261  -0.04
10 O 0.500 0.250 0.739  -0.04
11 O 0.000 0.750 0.239  -0.04
12 O 0.000 0.750 0.761  -0.04
13 O 0.261 0.011 0.500  -0.04
14 O 0.739 0.011 0.500  -0.04
15 O 0.261 0.489 0.500  -0.04
16 O 0.739 0.489 0.500  -0.04
17 O 0.761 0.511 0.000  -0.04
18 O 0.239 0.511 0.000  -0.04
19 O 0.239 0.989 0.000  -0.04
20 O 0.761 0.989 0.000  -0.04

=====

A geometry-optimized CeNpTlO6 structure, computed with PBE.

## Properties
Electronic total energy (Ha/atom): -0.3002

Unit cell a=7.303 b=8.107 c=7.531 alpha=122.56 beta=119.01 gamma=90.00
Sites, in units of the cell vectors:
1 Ce 0.500 0.000 0.500
2 Ce 0.000 0.000 0.500
3 Np 0.500 0.500 0.000
4 Np 0.500 0.000 0.000
5 Tl 0.859 0.609 0.717
6 Tl 0.141 0.391 0.283
7 O 0.589 0.839 0.179
8 O 0.857 0.107 0.713
9 O 0.818 0.151 0.257
10 O 0.439 0.606 0.257
11 O 0.439 0.151 0.257
12 O 0.818 0.606 0.257
13 O 0.411 0.161 0.821
14 O 0.143 0.893 0.287
15 O 0.182 0.849 0.743
16 O 0.561 0.394 0.743
17 O 0.561 0.849 0.743
18 O 0.182 0.394 0.743

=====

A geometry-optimized CeTmNpO6 structure, computed with PBE.

## Properties
Electronic total energy (Ha/atom): -0.3352

Unit cell a=5.723 b=5.723 c=9.654 alpha=90.00 beta=90.00 gamma=120.00
Last column: magnetic moment on the atom in μB.
Sites, in units of the cell vectors:
1 Ce 0.000 0.000 0.000  0.55
2 Ce 0.000 0.000 0.500  0.55
3 Tm 0.333 0.667 0.250  0.00
4 Tm 0.667 0.333 0.750  0.00
5 Np 0.667 0.333 0.250  1.69
6 Np 0.333 0.667 0.750  1.69
7 O 0.662 0.645 0.135  -0.05
8 O 0.983 0.338 0.135  -0.05
9 O 0.338 0.983 0.635  -0.05
10 O 0.017 0.662 0.865  -0.05
11 O 0.355 0.338 0.365  -0.05
12 O 0.983 0.645 0.365  -0.05
13 O 0.645 0.983 0.865  -0.05
14 O 0.662 0.017 0.365  -0.05
15 O 0.017 0.355 0.635  -0.05
16 O 0.355 0.017 0.135  -0.05
17 O 0.645 0.662 0.635  -0.05
18 O 0.338 0.355 0.865  -0.05

=====

A geometry-optimized CeTm2NpO8 structure, computed with PBE.

## Properties
Electronic total energy (Ha/atom): -0.3287

Unit cell a=3.871 b=6.353 c=7.643 alpha=72.99 beta=120.41 gamma=107.75
Last column: magnetic moment on the atom in μB.
Sites, in units of the cell vectors:
1 Ce 0.000 0.000 0.500  0.01
2 Tm 0.490 0.502 0.740  0.00
3 Tm 0.510 0.498 0.260  0.00
4 Np 0.000 0.000 0.000  1.26
5 O 0.119 0.349 0.945  -0.05
6 O 0.615 0.882 0.174  -0.04
7 O 0.882 0.624 0.570  -0.01
8 O 0.881 0.651 0.055  -0.05
9 O 0.385 0.118 0.826  -0.04
10 O 0.118 0.376 0.430  -0.01
11 O 0.646 0.896 0.698  -0.03
12 O 0.354 0.104 0.302  -0.03

=====

A geometry-optimized CeNpUO6 structure, computed with PBE.

## Properties
Electronic total energy (Ha/atom): -0.3587

Unit cell a=5.915 b=5.915 c=9.269 alpha=90.00 beta=90.00 gamma=120.00
Last column: magnetic moment on the atom in μB.
Sites, in units of the cell vectors:
1 Ce 0.333 0.667 0.250  0.60
2 Ce 0.667 0.333 0.750  0.60
3 Np 0.000 0.000 0.000  3.37
4 Np 0.000 0.000 0.500  3.37
5 U 0.667 0.333 0.250  1.17
6 U 0.333 0.667 0.750  1.17
7 O 0.676 0.654 0.131  -0.05
8 O 0.979 0.324 0.131  -0.05
9 O 0.324 0.979 0.631  -0.05
10 O 0.021 0.676 0.869  -0.05
11 O 0.346 0.324 0.369  -0.05
12 O 0.979 0.654 0.369  -0.05
13 O 0.654 0.979 0.869  -0.05
14 O 0.676 0.021 0.369  -0.05
15 O 0.021 0.346 0.631  -0.05
16 O 0.346 0.021 0.131  -0.05
17 O 0.654 0.676 0.631  -0.05
18 O 0.324 0.346 0.869  -0.05

=====

A geometry-optimized CeY2NpO8 structure, computed with PBE.

## Properties
Electronic total energy (Ha/atom): -0.3395

Unit cell a=3.824 b=5.377 c=7.552 alpha=90.01 beta=90.00 gamma=90.14
Last column: magnetic moment on the atom in μB.
Sites, in units of the cell vectors:
1 Ce 0.000 0.000 0.500  0.01
2 Y 0.500 0.500 0.752  0.00
3 Y 0.500 0.500 0.248  0.00
4 Np 0.000 0.000 0.000  1.29
5 O 0.001 0.760 0.230  -0.04
6 O 0.501 0.770 0.000  -0.05
7 O 0.999 0.240 0.230  -0.04
8 O 0.999 0.240 0.770  -0.04
9 O 0.499 0.230 0.000  -0.05
10 O 0.001 0.760 0.770  -0.04
11 O 0.500 0.752 0.500  -0.01
12 O 0.500 0.248 0.500  -0.01

=====

A geometry-optimized CeNpZnO6 structure, computed with PBE.

## Properties
Electronic total energy (Ha/atom): -0.2999

Unit cell a=5.368 b=5.368 c=10.067 alpha=90.00 beta=90.00 gamma=120.00
Last column: magnetic moment on the atom in μB.
Sites, in units of the cell vectors:
1 Ce 0.000 0.000 0.000  0.11
2 Ce 0.000 0.000 0.500  0.11
3 Np 0.667 0.333 0.250  1.22
4 Np 0.333 0.667 0.750  1.22
5 Zn 0.333 0.667 0.250  0.00
6 Zn 0.667 0.333 0.750  0.00
7 O 0.662 0.652 0.135  -0.04
8 O 0.990 0.338 0.135  -0.04
9 O 0.338 0.990 0.635  -0.04
10 O 0.010 0.662 0.865  -0.04
11 O 0.348 0.338 0.365  -0.04
12 O 0.990 0.652 0.365  -0.04
13 O 0.652 0.990 0.865  -0.04
14 O 0.662 0.010 0.365  -0.04
15 O 0.010 0.348 0.635  -0.04
16 O 0.348 0.010 0.135  -0.04
17 O 0.652 0.662 0.635  -0.04
18 O 0.338 0.348 0.865  -0.04

=====

A geometry-optimized CeNp2Os structure, computed with PBE.

## Properties
ΔH_f (0 K) (eV/atom): 0.461
Electronic total energy (Ha/atom): -0.3785

Unit cell a=4.655 b=4.655 c=5.645 alpha=65.65 beta=65.65 gamma=60.00
Last column: magnetic moment on the atom in μB.
Sites, in units of the cell vectors:
1 Np 0.324 0.324 0.029  0.64
2 Np 0.676 0.676 0.971  0.64
3 Os 0.000 0.000 0.000  -0.04
4 Ce 0.500 0.500 0.500  -0.05

=====

How do the records compare in magnetic moment? In the order shown, they have 1.109; 4.836; 1.000; 4.732; 2.003; 0.656; 1.087; 7.001; 4.003; 1.001; 5.001; 1.109; 0.000; 2.002; 1.000; 5.002; 1.001; 1.107; 1.110 μB/f.u..